Here is crystalline KHfS3 at its relaxed geometry from Alexandria. Energies are from PBE.

The structure in POSCAR format:
```
KHfS3
1.0
7.6463 -0.0080 -0.0093
-4.5025 6.7832 0.0499
2.0904 -2.1065 5.9350
S K Hf
6 2 2
direct
0.8986 0.1916 0.2766 S
0.2697 0.0220 0.1599 S
0.4201 0.7430 0.3034 S
0.0489 0.9126 0.4202 S
0.6196 0.7155 0.7214 S
0.6990 0.2190 0.8586 S
0.0166 0.6328 0.6855 K
0.3020 0.3018 0.8945 K
0.7303 0.9581 0.5080 Hf
0.5883 0.9765 0.0720 Hf
```

crystal system = triclinic
V = 30.8 Å³ per atom
energy above the lowest structure with this stoichiometry = 29 meV/atom
Fermi-level density of states = 0.000 states/eV/f.u.

***

Here is crystalline KHfS3 at its relaxed geometry from Alexandria. Energies are from PBE.

The structure in POSCAR format:
```
KHfS3
1.0
-2.9741 3.6195 -1.2057
-0.6743 -4.4097 -1.8708
-6.1633 -2.4224 7.9314
S Hf K
6 2 2
direct
0.6667 0.3333 0.9645 S
0.3333 0.6667 0.0355 S
0.6667 0.3333 0.5355 S
0.3333 0.6667 0.4645 S
0.0000 0.0000 0.2500 S
0.0000 0.0000 0.7500 S
0.0000 0.0000 0.5000 Hf
0.0000 0.0000 0.0000 Hf
0.3333 0.6667 0.7500 K
0.6667 0.3333 0.2500 K
```

crystal system = hexagonal
V = 20.9 Å³ per atom
energy above the lowest structure with this stoichiometry = 467 meV/atom
Fermi-level density of states = 1.724 states/eV/f.u.

***

| no. | formation energy from raw total energies (eV per atom) |
| --- | --- |
| 1 | -1.35 |
| 2 | -0.91 |